Entry 1:
# RbBaCd2Sb

A relaxed RbBaCd2Sb crystal (PBE, Alexandria).

Summary:
formation energy (no corrections)	694	meV per atom
M_tot	0.0	Bohr magnetons per cell
crystal system	tetragonal
space group	P4/mmm

Cell lengths 6.2532, 6.2532, 7.1755 Å; angles 90.00, 90.00, 90.00 degrees
Closest atoms and distances in Å follow each position.
Positions (direct):
Rb 0.0000 0.0000 0.0000  2 Ba 3.59
Ba 0.0000 0.0000 0.5000  4 Cd 3.13
Cd 0.0000 0.5000 0.5000  2 Ba 3.13
Cd 0.5000 0.0000 0.5000  2 Ba 3.13
Sb 0.5000 0.5000 0.0000  4 Rb 4.42, 8 Cd 4.76



Entry 2:
# Be3SnO

A relaxed Be3SnO crystal (PBE, Alexandria).

Summary:
formation energy (no corrections)	1254	meV per atom
M_tot	0.0	Bohr magnetons per cell
crystal system	cubic
space group	Pm-3m

Cell lengths 4.4838, 4.4838, 4.4838 Å; angles 90.00, 90.00, 90.00 degrees
Closest atoms and distances in Å follow each position.
Positions (direct):
Be 0.0000 0.0000 0.5000  2 Sn 2.24
Be 0.0000 0.5000 0.0000  2 Sn 2.24
Be 0.5000 0.0000 0.0000  2 Sn 2.24
Sn 0.0000 0.0000 0.0000  6 Be 2.24
O 0.5000 0.5000 0.5000  12 Be 3.17



Entry 3:
# Sr3HoIn4

A relaxed Sr3HoIn4 crystal (PBE, Alexandria).

Summary:
M_tot	0.0	Bohr magnetons per cell
crystal system	tetragonal
space group	P4/mmm
total DFT energy (no corrections)	-2.997	eV/atom

Cell lengths 3.9512, 3.9512, 16.2315 Å; angles 90.00, 90.00, 90.00 degrees
Closest atoms and distances in Å follow each position.
Positions (direct):
Sr 0.0000 0.0000 0.0000  8 In 3.49
Sr 0.0000 0.0000 0.2594  8 In 3.51-3.55, 1 Ho 3.91
Sr 0.0000 0.0000 0.7406  8 In 3.51-3.55, 1 Ho 3.91
Ho 0.0000 0.0000 0.5000  8 In 3.28
In 0.5000 0.5000 0.1289  8 Sr 3.49-3.51
In 0.5000 0.5000 0.3941  4 Ho 3.28, 1 In 3.44, 4 Sr 3.55
In 0.5000 0.5000 0.6059  4 Ho 3.28, 1 In 3.44, 4 Sr 3.55
In 0.5000 0.5000 0.8711  8 Sr 3.49-3.51



Entry 4:
# CdHg2Te

A relaxed CdHg2Te crystal (PBE, Alexandria).

Summary:
formation energy (no corrections)	93	meV per atom
M_tot	0.0	Bohr magnetons per cell
crystal system	trigonal
space group	R-3m

Cell lengths 12.3437, 12.3437, 12.3437 Å; angles 14.87, 14.87, 14.87 degrees
Closest atoms and distances in Å follow each position.
Positions (direct):
Cd 0.0000 0.0000 0.0000  6 Cd 3.20, 6 Hg 3.40
Hg 0.2554 0.2554 0.2554  6 Hg 3.20, 3 Cd 3.40
Hg 0.7446 0.7446 0.7446  6 Hg 3.20, 3 Cd 3.40
Te 0.5000 0.5000 0.5000  6 Te 3.20



Entry 5:
# La2Pd3Pb

A relaxed La2Pd3Pb crystal (PBE, Alexandria).

Summary:
M_tot	0.0	Bohr magnetons per cell
crystal system	orthorhombic
space group	Fmmm
total DFT energy (no corrections)	-5.517	eV/atom

Cell lengths 9.2276, 8.7107, 6.2501 Å; angles 74.12, 65.22, 40.65 degrees
Closest atoms and distances in Å follow each position.
Positions (direct):
La 0.2402 0.7598 0.7598  2 Pd 3.02, 2 Pb 3.35
La 0.2500 0.2500 0.2500  8 Pd 3.20-3.47, 4 Pb 3.35
La 0.7500 0.7500 0.7500  8 Pd 3.20-3.47, 4 Pb 3.35
La 0.7598 0.2402 0.2402  2 Pd 3.02, 2 Pb 3.35
Pd 0.1530 0.1530 0.8470  2 Pd 2.73, 1 Pb 2.73, 2 La 3.02
Pd 0.1697 0.6567 0.3433  2 Pd 2.71-2.73, 1 Pb 2.74
Pd 0.3433 0.8303 0.1697  2 Pd 2.71-2.73, 1 Pb 2.74
Pd 0.6567 0.1697 0.8303  2 Pd 2.71-2.73, 1 Pb 2.74
Pd 0.8303 0.3433 0.6567  2 Pd 2.71-2.73, 1 Pb 2.74
Pd 0.8470 0.8470 0.1530  2 Pd 2.73, 1 Pb 2.73, 2 La 3.02
Pb 0.3279 0.3279 0.6721  3 Pd 2.73-2.74
Pb 0.6721 0.6721 0.3279  3 Pd 2.73-2.74



Entry 6:
# MoOsW2

A relaxed MoOsW2 crystal (PBE, Alexandria).

Summary:
M_tot	0.0	Bohr magnetons per cell
crystal system	trigonal
space group	R3m
total DFT energy (no corrections)	-11.700	eV/atom

Cell lengths 9.6527, 9.6527, 9.6527 Å; angles 16.51, 16.51, 16.51 degrees
Closest atoms and distances in Å follow each position.
Positions (direct):
Mo 0.0000 0.0000 0.0000  3 Os 2.77, 6 Mo 2.77, 3 W 2.96
Os 0.7458 0.7458 0.7458  3 Mo 2.77, 6 Os 2.77, 3 W 2.79
W 0.2463 0.2463 0.2463  9 W 2.77-2.96, 3 Mo 2.96
W 0.4925 0.4925 0.4925  9 W 2.77-2.96, 3 Os 2.79



Entry 7:
# SrFe2Re

A relaxed SrFe2Re crystal (PBE, Alexandria).

Summary:
M_tot	4.1	Bohr magnetons per cell
crystal system	orthorhombic
space group	Imm2
total DFT energy (no corrections)	-6.897	eV/atom

Cell lengths 5.7358, 5.7358, 5.7358 Å; angles 152.17, 128.84, 59.24 degrees
Closest atoms and distances in Å follow each position.
Positions (direct):
Sr 0.0000 0.0000 0.0000  2 Sr 2.76, 4 Fe 2.84
Fe 0.5071 0.5071 0.0000  4 Fe 2.48-2.76, 2 Re 2.55
Fe 0.7135 0.2135 0.5000  4 Fe 2.48-2.76
Re 0.2919 0.7919 0.5000  2 Fe 2.55, 2 Re 2.76



Entry 8:
# Rb2LiSb4Au3

A relaxed Rb2LiSb4Au3 crystal (PBE, Alexandria).

Summary:
formation energy (no corrections)	-326	meV per atom
M_tot	0.0	Bohr magnetons per cell
crystal system	tetragonal
space group	P-4m2

Cell lengths 4.9108, 4.9108, 11.4234 Å; angles 90.00, 90.00, 90.00 degrees
Closest atoms and distances in Å follow each position.
Positions (direct):
Rb 0.0000 0.5000 0.2429  2 Li 3.70, 6 Au 3.70-3.76, 8 Sb 3.71-3.83
Rb 0.5000 0.0000 0.7571  2 Li 3.70, 6 Au 3.70-3.76, 8 Sb 3.71-3.83
Li 0.5000 0.5000 0.0000  4 Sb 2.86
Sb 0.0000 0.0000 0.5000  4 Au 2.87
Sb 0.0000 0.5000 0.8720  3 Au 2.76-2.86, 2 Li 2.86
Sb 0.5000 0.0000 0.1280  3 Au 2.76-2.86, 2 Li 2.86
Sb 0.5000 0.5000 0.5000  4 Au 2.87
Au 0.0000 0.0000 0.0000  4 Sb 2.86
Au 0.0000 0.5000 0.6301  5 Sb 2.76-2.87
Au 0.5000 0.0000 0.3699  5 Sb 2.76-2.87